Crystalline Sr2BeRh at its relaxed geometry. Source: the Alexandria database, functional PBEsol.

Geometry as CIF:
```
data_Sr2BeRh
_cell_length_a 3.9994
_cell_length_b 3.9994
_cell_length_c 24.1171
_cell_angle_alpha 90.00
_cell_angle_beta 90.00
_cell_angle_gamma 120.00
_space_group_name_H-M_alt 'R 3 m'
_space_group_IT_number 160
_space_group_name_Hall 'R 3 -2"'
loop_
_atom_site_label
_atom_site_type_symbol
_atom_site_fract_x
_atom_site_fract_y
_atom_site_fract_z
Sr1 Sr 0.0000 0.0000 0.0000
Sr2 Sr 0.0000 0.0000 0.1714
Be1 Be 0.0000 0.0000 0.4190
Rh1 Rh 0.0000 0.0000 0.7525
```

Calculated values
The value obtained for the formation enthalpy at 0 K is -218 meV per atom.